# 1
Below is Pm4FeGe2 after structural relaxation, with properties calculated at the PBE level.

Values from the calculation:
Distance to the lowest polymorph of the same formula = 0.000 eV per formula unit

a = 4.9639 Å, b = 4.9639 Å, c = 26.1618 Å
α = 90.00°, β = 90.00°, γ = 120.00°
Space group R-3m (No. 166, hexagonal axes)
Inequivalent atoms, fractional coordinates:
Pm: 0.0000 0.0000 0.1255
Pm: 0.0000 0.0000 0.2921
Fe: 0.0000 0.0000 0.5000
Ge: 0.0000 0.0000 0.4080


# 2
Below is Pm2FeGe4 after structural relaxation, with properties calculated at the PBE level.

a = 8.350 Å, b = 8.364 Å, c = 9.038 Å
α = 90.00°, β = 90.00°, γ = 90.00°
Space group Fmmm (No. 69)
Inequivalent atoms, fractional coordinates:
Pm: 0.250 0.250 0.250
Fe: 0.000 0.000 0.000
Ge: 0.000 0.218 0.500
Ge: 0.217 0.000 0.500


# 3
Below is PmFe6Ge6 after structural relaxation, with properties calculated at the PBE level.

a = 5.144 Å, b = 8.205 Å, c = 8.892 Å
α = 90.00°, β = 90.00°, γ = 90.00°
Space group Immm (No. 71)
Inequivalent atoms, fractional coordinates:
Pm: 0.000 0.000 0.000
Fe: 0.000 0.248 0.500
Fe: 0.250 0.250 0.250
Ge: 0.000 0.000 0.339
Ge: 0.000 0.349 0.000
Ge: 0.000 0.500 0.327


# 4
Below is Pm2Fe3Ge5 after structural relaxation, with properties calculated at the PBE level.

a = 9.698 Å, b = 12.161 Å, c = 5.706 Å
α = 90.00°, β = 90.00°, γ = 90.00°
Space group Ibam (No. 72)
Inequivalent atoms, fractional coordinates:
Pm: 0.231 0.139 0.000
Fe: 0.000 0.500 0.250
Fe: 0.092 0.145 0.500
Ge: 0.000 0.000 0.250
Ge: 0.000 0.287 0.250
Ge: 0.172 0.411 0.000


# 5
Below is Pm2FeGe after structural relaxation, with properties calculated at the PBE level.

a = 4.897 Å, b = 4.897 Å, c = 3.838 Å
α = 90.00°, β = 90.00°, γ = 90.00°
Space group P4/mmm (No. 123)
Inequivalent atoms, fractional coordinates:
Pm: 0.000 0.500 0.000
Fe: 0.000 0.000 0.500
Ge: 0.500 0.500 0.500


# 6
Below is Pm4Fe2Ge5 after structural relaxation, with properties calculated at the PBE level.

a = 7.021 Å, b = 4.278 Å, c = 8.080 Å
α = 90.00°, β = 91.09°, γ = 90.00°
Space group P2/m (No. 10)
Inequivalent atoms, fractional coordinates:
Pm: 0.229 0.000 0.135
Pm: 0.252 0.000 0.618
Fe: 0.067 0.500 0.385
Ge: 0.109 0.500 0.870
Ge: 0.406 0.500 0.359
Ge: 0.500 0.500 0.000


# 7
Below is Pm2FeGe6 after structural relaxation, with properties calculated at the PBE level.

Values from the calculation:
Distance to the lowest polymorph of the same formula = 0.000 eV per formula unit

a = 10.509 Å, b = 6.066 Å, c = 5.378 Å
α = 90.00°, β = 90.01°, γ = 90.00°
Space group C2/m (No. 12)
Inequivalent atoms, fractional coordinates:
Pm: 0.168 0.000 0.305
Fe: 0.000 0.500 0.500
Ge: 0.088 0.239 0.801
Ge: 0.174 0.500 0.200


# 8
Below is PmFe3Ge2 after structural relaxation, with properties calculated at the PBE level.

a = 15.011 Å, b = 3.889 Å, c = 7.329 Å
α = 90.00°, β = 115.54°, γ = 90.00°
Space group C2/m (No. 12)
Inequivalent atoms, fractional coordinates:
Pm: 0.147 0.000 0.059
Fe: 0.041 0.000 0.396
Fe: 0.080 0.500 0.635
Fe: 0.191 0.500 0.466
Ge: 0.024 0.500 0.193
Ge: 0.194 0.000 0.691


Computed calculated formation energy, in the same sequence as the records: -2.757, -2.769, -3.374, -4.652, -0.754, -5.708, -3.787, -2.166 eV/f.u..
Computed DOS at the Fermi energy, in the same sequence as the records: 15.16, 16.99, 16.44, 23.87, 6.20, 8.99, 10.15, 17.69 states/eV per cell.
Computed E_tot, in the same sequence as the records: -5.637, -5.600, -6.662, -6.263, -5.834, -5.884, -5.495, -6.923 eV/atom.